[1]
Here is a relaxed structure of Tm3AlSi2Pd9 from Alexandria. Energies are from PBE.

The structure in POSCAR format:
```
Tm3AlSi2Pd9
1.0
-6.231 0.095 -0.460
2.784 -4.010 3.900
-0.391 6.101 6.552
Tm Al Si Pd
3 1 2 9
Direct
0.333 0.667 0.723 Tm
0.000 0.000 0.000 Tm
0.667 0.333 0.277 Tm
0.000 0.000 0.500 Al
0.333 0.667 0.175 Si
0.667 0.333 0.825 Si
0.855 0.145 0.718 Pd
0.855 0.710 0.718 Pd
0.290 0.145 0.718 Pd
0.710 0.855 0.282 Pd
0.145 0.290 0.282 Pd
0.145 0.855 0.282 Pd
0.500 0.000 0.000 Pd
0.000 0.500 0.000 Pd
0.500 0.500 0.000 Pd
```

Crystal system: trigonal
Size of the total moment: 0.00 μB per cell
Formation energy without anion corrections: -0.645 eV per atom

***

[2]
Here is a relaxed structure of NpPd6Pt3 from Alexandria. Energies are from PBE.

The structure in POSCAR format:
```
NpPd6Pt3
1.0
4.818 0.000 0.000
-2.409 4.173 0.000
0.000 0.000 8.785
Np Pd Pt
1 6 3
Direct
0.000 0.000 0.000 Np
0.657 0.657 0.772 Pd
0.000 0.343 0.772 Pd
0.343 0.000 0.772 Pd
0.000 0.657 0.228 Pd
0.343 0.343 0.228 Pd
0.657 0.000 0.228 Pd
0.000 0.000 0.500 Pt
0.667 0.333 0.500 Pt
0.333 0.667 0.500 Pt
```

Formation energy: -0.08 eV/atom
Crystal system: trigonal
Size of the total moment: 1.99 μB per cell

***

[3]
Here is a relaxed structure of Ti4Nb2In from Alexandria. Energies are from PBE.

The structure in POSCAR format:
```
Ti4Nb2In
1.0
-2.644 0.057 1.193
3.516 -4.018 0.916
5.017 2.769 8.086
Ti Nb In
4 2 1
Direct
0.227 0.151 0.198 Ti
0.773 0.849 0.802 Ti
0.911 0.423 0.654 Ti
0.089 0.577 0.346 Ti
0.611 0.289 0.922 Nb
0.389 0.711 0.078 Nb
0.000 0.000 0.500 In
```

Formation energy: -0.03 eV/atom
Crystal system: monoclinic
Distance to the lowest polymorph of the same formula: 0.0 meV per atom
Size of the total moment: 0.00 μB per cell

***

[4]
Here is a relaxed structure of BaUAg2Te4 from Alexandria. Energies are from PBE.

The structure in POSCAR format:
```
BaUAg2Te4
1.0
7.514 0.000 0.000
3.757 6.069 0.022
3.757 0.519 6.047
Ba U Ag Te
1 1 2 4
Direct
0.000 0.000 0.000 Ba
0.500 0.500 0.500 U
0.161 0.339 0.339 Ag
0.839 0.661 0.661 Ag
0.470 0.088 0.523 Te
0.082 0.912 0.477 Te
0.918 0.523 0.088 Te
0.530 0.477 0.912 Te
```

Crystal system: orthorhombic
Size of the total moment: 2.16 μB per cell
Formation energy without anion corrections: -0.553 eV per atom

***

[5]
Here is a relaxed structure of K5Si2O5 from Alexandria. Energies are from PBE.

The structure in POSCAR format:
```
K5Si2O5
1.0
3.230 0.000 0.000
-1.615 10.459 1.526
0.000 -2.284 9.128
K Si O
5 2 5
Direct
0.500 0.000 0.500 K
0.620 0.239 0.906 K
0.688 0.376 0.298 K
0.312 0.624 0.702 K
0.380 0.761 0.094 K
0.957 0.914 0.842 Si
0.043 0.086 0.158 Si
0.117 0.235 0.135 O
0.476 0.953 0.772 O
0.524 0.047 0.228 O
0.883 0.765 0.865 O
0.000 0.000 0.000 O
```

Crystal system: monoclinic
Size of the total moment: 0.00 μB per cell
Formation energy without anion corrections: -1.642 eV per atom

***

[6]
Here is a relaxed structure of Al2CuAu6 from Alexandria. Energies are from PBE.

The structure in POSCAR format:
```
Al2CuAu6
1.0
4.659 0.000 0.000
-2.329 5.411 -1.252
0.000 -3.290 6.960
Al Cu Au
2 1 6
Direct
0.869 0.738 0.038 Al
0.131 0.262 0.962 Al
0.000 0.000 0.500 Cu
0.834 0.667 0.652 Au
0.701 0.403 0.168 Au
0.299 0.597 0.832 Au
0.521 0.043 0.700 Au
0.479 0.957 0.300 Au
0.166 0.333 0.348 Au
```

Formation energy: -0.19 eV/atom
Crystal system: monoclinic
Distance to the lowest polymorph of the same formula: 43.5 meV per atom
Size of the total moment: 0.00 μB per cell

***

[7]
Here is a relaxed structure of MgBeIn2 from Alexandria. Energies are from PBE.

The structure in POSCAR format:
```
MgBeIn2
1.0
3.123 -0.010 0.000
-0.111 3.121 0.000
0.000 0.000 8.492
Be Mg In
1 1 2
Direct
0.500 0.500 0.738 Be
0.000 0.000 0.546 Mg
0.000 0.000 0.949 In
0.500 0.500 0.266 In
```

Formation energy: 0.26 eV/atom
Crystal system: orthorhombic
Distance to the lowest polymorph of the same formula: 30.5 meV per atom
Size of the total moment: 0.00 μB per cell

***

[8]
Here is a relaxed structure of Ca2TcPd from Alexandria. Energies are from PBE.

The structure in POSCAR format:
```
Ca2TcPd
1.0
7.859 0.000 0.000
0.000 7.859 0.000
3.930 3.930 3.020
Ca Tc Pd
4 2 2
Direct
0.645 0.125 0.250 Ca
0.105 0.625 0.250 Ca
0.375 0.355 0.750 Ca
0.875 0.895 0.750 Ca
0.500 0.500 0.000 Tc
0.250 0.750 0.500 Tc
0.000 0.000 0.000 Pd
0.750 0.250 0.500 Pd
```

Formation energy: 0.49 eV/atom
Crystal system: tetragonal
Distance to the lowest polymorph of the same formula: 189.2 meV per atom
Size of the total moment: 4.81 μB per cell

***

[9]
Here is a relaxed structure of Ac2Pm3Os2 from Alexandria. Energies are from PBE.

The structure in POSCAR format:
```
Ac2Pm3Os2
1.0
4.094 0.000 0.000
-2.047 6.331 -0.428
0.000 -3.473 8.499
Ac Pm Os
2 3 2
Direct
0.836 0.672 0.204 Ac
0.164 0.328 0.796 Ac
0.500 0.000 0.000 Pm
0.626 0.252 0.421 Pm
0.374 0.748 0.579 Pm
0.825 0.649 0.766 Os
0.175 0.351 0.234 Os
```

Formation energy: -0.08 eV/atom
Crystal system: monoclinic
Size of the total moment: 0.00 μB per cell

***

[10]
Here is a relaxed structure of Tl2SnHg2 from Alexandria. Energies are from PBE.

The structure in POSCAR format:
```
Tl2SnHg2
1.0
8.672 0.000 0.000
0.000 8.672 0.000
0.000 0.000 3.916
Tl Hg Sn
4 4 2
Direct
0.350 0.850 0.000 Tl
0.850 0.650 0.000 Tl
0.650 0.150 0.000 Tl
0.150 0.350 0.000 Tl
0.151 0.651 0.500 Hg
0.651 0.849 0.500 Hg
0.849 0.349 0.500 Hg
0.349 0.151 0.500 Hg
0.000 0.000 0.000 Sn
0.500 0.500 0.000 Sn
```

Formation energy: 0.11 eV/atom
Crystal system: tetragonal
Distance to the lowest polymorph of the same formula: 75.6 meV per atom
Size of the total moment: 0.00 μB per cell

***

[11]
Here is a relaxed structure of Tm4CoRh from Alexandria. Energies are from PBE.

The structure in POSCAR format:
```
Tm4CoRh
1.0
5.695 0.116 -1.982
-2.462 6.228 -2.993
0.148 0.053 7.747
Tm Co Rh
8 2 2
Direct
0.008 0.235 0.877 Tm
0.794 0.693 0.644 Tm
0.368 0.642 0.877 Tm
0.351 0.951 0.644 Tm
0.649 0.049 0.356 Tm
0.632 0.358 0.123 Tm
0.206 0.307 0.356 Tm
0.992 0.765 0.123 Tm
0.251 0.001 0.001 Co
0.749 0.999 0.999 Co
0.389 0.639 0.278 Rh
0.611 0.361 0.722 Rh
```

Formation energy: -0.45 eV/atom
Crystal system: monoclinic
Distance to the lowest polymorph of the same formula: 0.0 meV per atom
Size of the total moment: 0.00 μB per cell

***

[12]
Here is a relaxed structure of YCo3H from Alexandria. Energies are from PBE.

The structure in POSCAR format:
```
YCo3H
1.0
-2.712 -0.123 2.779
2.736 -0.816 2.635
0.500 3.796 0.656
Y H Co
1 1 3
Direct
0.500 0.500 0.500 Y
0.000 0.000 0.000 H
0.000 0.500 0.000 Co
0.000 0.000 0.500 Co
0.500 0.000 0.000 Co
```

Crystal system: cubic
Distance to the lowest polymorph of the same formula: 0.0 meV per atom
Size of the total moment: 2.67 μB per cell